1.
Rh4Au after structural relaxation, computed with PBE-GGA.

Cell lengths 6.7183, 6.7183, 6.7183 Å; angles 148.63, 148.63, 44.95 degrees
Atoms (fractional coordinates):
Rh 0.7500 0.2500 0.5000
Rh 0.3998 0.3998 0.0000
Rh 0.6002 0.6002 0.0000
Rh 0.2500 0.7500 0.5000
Au 0.0000 0.0000 0.0000

distance to the lowest polymorph of the same formula: 0.254 eV/atom
formation energy from the elements: 378 meV/atom


2.
RhAu3 after structural relaxation, computed with PBE-GGA.

Cell lengths 2.8546, 3.9957, 5.9931 Å; angles 90.00, 90.00, 90.00 degrees
Atoms (fractional coordinates):
Rh 0.5000 0.5000 0.0000
Au 0.0000 0.0000 0.7599
Au 0.0000 0.0000 0.2401
Au 0.5000 0.5000 0.5000

formation energy from the elements: 131 meV/atom


3.
Rh4Au after structural relaxation, computed with PBE-GGA.

Cell lengths 4.7890, 4.7890, 4.7890 Å; angles 99.52, 99.52, 132.01 degrees
Atoms (fractional coordinates):
Rh 0.8066 0.5980 0.4046
Rh 0.1934 0.4020 0.5954
Rh 0.5980 0.1934 0.7915
Rh 0.4020 0.8066 0.2085
Au 0.0000 0.0000 0.0000

distance to the lowest polymorph of the same formula: 0.000 eV/atom
formation energy from the elements: 124 meV/atom


4.
RhAu5 after structural relaxation, computed with PBE-GGA.

Cell lengths 5.6836, 5.6836, 11.2311 Å; angles 141.16, 141.16, 29.09 degrees
Atoms (fractional coordinates):
Au 0.0056 0.0056 0.0011
Au 0.1159 0.1159 0.7299
Au 0.3358 0.3358 0.6684
Au 0.4417 0.4417 0.3852
Au 0.6560 0.6560 0.3257
Rh 0.7784 0.7784 0.0564

distance to the lowest polymorph of the same formula: 0.000 eV/atom
formation energy from the elements: 98 meV/atom


no.,DFT total energy (eV for the cell shown)
1,-30.79
2,-16.66
3,-32.06
4,-23.15